--- P ---
# HfZr2Tc

HfZr2Tc after structural relaxation (PBE-GGA, the Alexandria database).

abc: 3.3151 3.3151 7.3748
angles: 90.00 90.00 90.00
Element x y z (fractional)
Hf1 0.5000 0.5000 0.5000
Tc1 0.5000 0.5000 0.0000
Zr1 0.0000 0.0000 0.7831
Zr2 0.0000 0.0000 0.2169

Calculated values
The density of states at the Fermi level comes out at 0.922 states/eV per atom. The symmetry is P4/mmm, No. 123. The volume comes out at 81.0 Å³ per cell.

=====

--- Q ---
# HfZr2Tc

HfZr2Tc after structural relaxation (PBE-GGA, the Alexandria database).

abc: 7.6748 7.6748 6.1689
angles: 51.53 51.53 90.00
Element x y z (fractional)
Hf1 0.0000 0.0000 0.0000
Hf2 0.7500 0.2500 0.5000
Tc1 0.5000 0.5000 0.0000
Tc2 0.2500 0.7500 0.5000
Zr1 0.5809 0.1250 0.2500
Zr2 0.1691 0.6250 0.2500
Zr3 0.3750 0.4191 0.7500
Zr4 0.8750 0.8309 0.7500

Calculated values
The density of states at the Fermi level comes out at 1.384 states/eV per atom. The symmetry is I-42d, No. 122. The volume comes out at 172.8 Å³ per cell.

=====

Which one sits at the top of the stability order? P does.

=====

--- P ---
# HfZrTc2

HfZrTc2 after structural relaxation (PBE-GGA, the Alexandria database).

abc: 3.2688 4.6449 4.6449
angles: 90.00 90.00 90.00
Element x y z (fractional)
Hf1 0.5000 0.5000 0.5000
Tc1 0.0000 0.0000 0.5000
Tc2 0.0000 0.5000 0.0000
Zr1 0.5000 0.0000 0.0000

Calculated values
The density of states at the Fermi level comes out at 0.982 states/eV per atom. The symmetry is P4/mmm, No. 123. The volume comes out at 70.5 Å³ per cell.

=====

--- Q ---
# HfZrTc2

HfZrTc2 after structural relaxation (PBE-GGA, the Alexandria database).

abc: 7.2504 7.2504 5.8678
angles: 51.84 51.84 90.00
Element x y z (fractional)
Hf1 0.0000 0.0000 0.0000
Hf2 0.7500 0.2500 0.5000
Tc1 0.6264 0.1250 0.2500
Tc2 0.1236 0.6250 0.2500
Tc3 0.3750 0.3736 0.7500
Tc4 0.8750 0.8764 0.7500
Zr1 0.5000 0.5000 0.0000
Zr2 0.2500 0.7500 0.5000

Calculated values
The density of states at the Fermi level comes out at 1.374 states/eV per atom. The symmetry is I-42d, No. 122. The volume comes out at 150.0 Å³ per cell.

=====

Which one sits at the top of the stability order? P does.

=====

--- P ---
# Hf2ZrTc2

Hf2ZrTc2 after structural relaxation (PBE-GGA, the Alexandria database).

abc: 7.5687 7.5687 3.3590
angles: 90.00 90.00 90.00
Element x y z (fractional)
Hf1 0.1492 0.6492 0.5000
Hf2 0.6492 0.8508 0.5000
Hf3 0.8508 0.3508 0.5000
Hf4 0.3508 0.1492 0.5000
Tc1 0.3509 0.8509 0.0000
Tc2 0.8509 0.6491 0.0000
Tc3 0.6491 0.1491 0.0000
Tc4 0.1491 0.3509 0.0000
Zr1 0.0000 0.0000 0.0000
Zr2 0.5000 0.5000 0.0000

Calculated values
The density of states at the Fermi level comes out at 0.674 states/eV per atom. The symmetry is P4/mbm, No. 127. The volume comes out at 192.4 Å³ per cell.

=====

--- Q ---
# Hf2ZrTc2

Hf2ZrTc2 after structural relaxation (PBE-GGA, the Alexandria database).

abc: 3.2530 3.2817 9.4302
angles: 79.98 90.00 90.00
Element x y z (fractional)
Hf1 0.0000 0.1721 0.6559
Hf2 0.0000 0.8279 0.3441
Zr1 0.0000 0.0000 0.0000
Tc1 0.5000 0.4070 0.1860
Tc2 0.5000 0.5930 0.8140

Calculated values
The density of states at the Fermi level comes out at 0.462 states/eV per atom. The symmetry is Cmmm, No. 65. The volume comes out at 99.1 Å³ per cell.

=====

Which one sits at the top of the stability order? Q does.

=====

--- P ---
# Hf3ZrTc

Hf3ZrTc after structural relaxation (PBE-GGA, the Alexandria database).

abc: 4.9497 4.9497 4.9497
angles: 90.00 90.00 90.00
Element x y z (fractional)
Hf1 0.0000 0.5000 0.0000
Hf2 0.0000 0.0000 0.5000
Hf3 0.5000 0.0000 0.0000
Tc1 0.5000 0.5000 0.5000
Zr1 0.0000 0.0000 0.0000

Calculated values
The density of states at the Fermi level comes out at 1.327 states/eV per atom. The symmetry is Pm-3m, No. 221. The volume comes out at 121.3 Å³ per cell.

=====

--- Q ---
# Hf3ZrTc

Hf3ZrTc after structural relaxation (PBE-GGA, the Alexandria database).

abc: 4.9637 4.9637 4.9637
angles: 90.00 90.00 90.00
Element x y z (fractional)
Hf1 0.0000 0.5000 0.0000
Hf2 0.0000 0.0000 0.5000
Hf3 0.5000 0.0000 0.0000
Tc1 0.0000 0.0000 0.0000
Zr1 0.5000 0.5000 0.5000

Calculated values
The density of states at the Fermi level comes out at 1.458 states/eV per atom. The symmetry is Pm-3m, No. 221. The volume comes out at 122.3 Å³ per cell.

=====

Which one sits at the top of the stability order? Q does.

=====

--- P ---
# HfThTe2

HfThTe2 after structural relaxation (PBE-GGA, the Alexandria database).

abc: 3.7803 3.7803 10.3585
angles: 79.49 79.49 60.00
Element x y z (fractional)
Te1 0.1051 0.1051 0.6847
Te2 0.8949 0.8949 0.3153
Hf1 0.5000 0.5000 0.5000
Th1 0.0000 0.0000 0.0000

Calculated values
The density of states at the Fermi level comes out at 1.314 states/eV per atom. The symmetry is R-3m, No. 166. The volume comes out at 125.3 Å³ per cell.

=====

--- Q ---
# HfThTe2

HfThTe2 after structural relaxation (PBE-GGA, the Alexandria database).

abc: 3.7571 5.2218 5.2218
angles: 90.00 90.00 90.00
Element x y z (fractional)
Te1 0.0000 0.0000 0.5000
Te2 0.0000 0.5000 0.0000
Hf1 0.5000 0.5000 0.5000
Th1 0.5000 0.0000 0.0000

Calculated values
The density of states at the Fermi level comes out at 0.597 states/eV per atom. The symmetry is P4/mmm, No. 123. The volume comes out at 102.4 Å³ per cell.

=====

Which one sits at the top of the stability order? Q does.

=====

--- P ---
# Hf3TiTe

Hf3TiTe after structural relaxation (PBE-GGA, the Alexandria database).

abc: 6.5039 6.5039 7.1995
angles: 103.69 119.98 100.66
Element x y z (fractional)
Hf1 0.7852 0.9858 0.1754
Hf2 0.1896 0.3901 0.1754
Hf3 0.8104 0.6099 0.8246
Hf4 0.7193 0.4214 0.1408
Hf5 0.2148 0.0142 0.8246
Hf6 0.2807 0.5786 0.8592
Ti1 0.7167 0.0755 0.7923
Ti2 0.2833 0.9245 0.2077
Te1 0.6709 0.7624 0.4333
Te2 0.3291 0.2376 0.5667

Calculated values
The density of states at the Fermi level comes out at 0.810 states/eV per atom. The symmetry is C2/m, No. 12. The volume comes out at 239.1 Å³ per cell.

=====

--- Q ---
# Hf3TiTe

Hf3TiTe after structural relaxation (PBE-GGA, the Alexandria database).

abc: 4.9754 4.9754 4.9754
angles: 90.00 90.00 90.00
Element x y z (fractional)
Te1 0.5000 0.5000 0.5000
Hf1 0.0000 0.5000 0.0000
Hf2 0.0000 0.0000 0.5000
Hf3 0.5000 0.0000 0.0000
Ti1 0.0000 0.0000 0.0000

Calculated values
The density of states at the Fermi level comes out at 1.867 states/eV per atom. The symmetry is Pm-3m, No. 221. The volume comes out at 123.2 Å³ per cell.

=====

Which one sits at the top of the stability order? P does.

=====

--- P ---
# HfTiTe3

HfTiTe3 after structural relaxation (PBE-GGA, the Alexandria database).

abc: 3.9260 6.9193 10.7262
angles: 90.00 100.54 90.00
Element x y z (fractional)
Hf1 0.3370 0.5233 0.6739
Hf2 0.6630 0.0233 0.3261
Ti1 0.8327 0.9585 0.6654
Ti2 0.1673 0.4585 0.3346
Te1 0.9075 0.3145 0.8150
Te2 0.0925 0.8145 0.1850
Te3 0.5815 0.3402 0.1631
Te4 0.4185 0.8402 0.8369
Te5 0.7444 0.6577 0.4888
Te6 0.2556 0.1577 0.5112

Calculated values
The density of states at the Fermi level comes out at 0.720 states/eV per atom. The symmetry is Cmc2_1, No. 36. The volume comes out at 286.5 Å³ per cell.

=====

--- Q ---
# HfTiTe3

HfTiTe3 after structural relaxation (PBE-GGA, the Alexandria database).

abc: 3.8887 7.1109 9.9390
angles: 104.39 90.00 90.00
Element x y z (fractional)
Hf1 0.2500 0.7172 0.0030
Hf2 0.7500 0.2828 0.9970
Ti1 0.2500 0.8775 0.3541
Ti2 0.7500 0.1225 0.6459
Te1 0.2500 0.0152 0.8295
Te2 0.7500 0.9848 0.1705
Te3 0.2500 0.4831 0.1958
Te4 0.7500 0.5169 0.8042
Te5 0.2500 0.2572 0.4956
Te6 0.7500 0.7428 0.5044

Calculated values
The density of states at the Fermi level comes out at 0.735 states/eV per atom. The symmetry is P2_1/m, No. 11. The volume comes out at 266.2 Å³ per cell.

=====

--- R ---
# HfTiTe3

HfTiTe3 after structural relaxation (PBE-GGA, the Alexandria database).

abc: 5.2632 5.2632 5.2632
angles: 90.00 90.00 90.00
Element x y z (fractional)
Te1 0.0000 0.5000 0.0000
Te2 0.0000 0.0000 0.5000
Te3 0.5000 0.0000 0.0000
Hf1 0.5000 0.5000 0.5000
Ti1 0.0000 0.0000 0.0000

Calculated values
The density of states at the Fermi level comes out at 1.414 states/eV per atom. The symmetry is Pm-3m, No. 221. The volume comes out at 145.8 Å³ per cell.

=====

Which one sits at the top of the stability order? Q does.

=====

--- P ---
# HfTl2Te

HfTl2Te after structural relaxation (PBE-GGA, the Alexandria database).

abc: 4.2785 4.2785 12.4403
angles: 80.10 80.10 90.00
Element x y z (fractional)
Tl1 0.6314 0.1250 0.2500
Tl2 0.1186 0.6250 0.2500
Tl3 0.3750 0.3686 0.7500
Tl4 0.8750 0.8814 0.7500
Te1 0.5000 0.5000 0.0000
Te2 0.2500 0.7500 0.5000
Hf1 0.0000 0.0000 0.0000
Hf2 0.7500 0.2500 0.5000

Calculated values
The density of states at the Fermi level comes out at 0.941 states/eV per atom. The symmetry is I-42d, No. 122. The volume comes out at 220.9 Å³ per cell.

=====

--- Q ---
# HfTl2Te

HfTl2Te after structural relaxation (PBE-GGA, the Alexandria database).

abc: 5.3822 5.3822 5.3822
angles: 60.00 60.00 60.00
Element x y z (fractional)
Tl1 0.2500 0.2500 0.2500
Tl2 0.7500 0.7500 0.7500
Te1 0.0000 0.0000 0.0000
Hf1 0.5000 0.5000 0.5000

Calculated values
The density of states at the Fermi level comes out at 1.559 states/eV per atom. The symmetry is Fm-3m, No. 225. The volume comes out at 110.2 Å³ per cell.

=====

Which one sits at the top of the stability order? P does.

=====

--- P ---
# Hf2Tl2Te

Hf2Tl2Te after structural relaxation (PBE-GGA, the Alexandria database).

abc: 7.4883 7.4883 4.4653
angles: 90.00 90.00 90.00
Element x y z (fractional)
Tl1 0.1615 0.6615 0.5000
Tl2 0.6615 0.8385 0.5000
Tl3 0.8385 0.3385 0.5000
Tl4 0.3385 0.1615 0.5000
Te1 0.0000 0.0000 0.0000
Te2 0.5000 0.5000 0.0000
Hf1 0.3566 0.8566 0.0000
Hf2 0.8566 0.6434 0.0000
Hf3 0.6434 0.1434 0.0000
Hf4 0.1434 0.3566 0.0000

Calculated values
The density of states at the Fermi level comes out at 0.563 states/eV per atom. The symmetry is P4/mbm, No. 127. The volume comes out at 250.4 Å³ per cell.

=====

--- Q ---
# Hf2Tl2Te

Hf2Tl2Te after structural relaxation (PBE-GGA, the Alexandria database).

abc: 4.0845 4.0845 8.0966
angles: 75.39 75.39 90.00
Element x y z (fractional)
Tl1 0.7500 0.2500 0.5000
Tl2 0.2500 0.7500 0.5000
Te1 0.0000 0.0000 0.0000
Hf1 0.4026 0.4026 0.1948
Hf2 0.5974 0.5974 0.8052

Calculated values
The density of states at the Fermi level comes out at 0.786 states/eV per atom. The symmetry is I4/mmm, No. 139. The volume comes out at 126.2 Å³ per cell.

=====

Which one sits at the top of the stability order? P does.

=====

--- P ---
# Tm2HfTe

Tm2HfTe after structural relaxation (PBE-GGA, the Alexandria database).

abc: 3.6608 3.6610 9.4557
angles: 90.00 90.00 60.01
Element x y z (fractional)
Tm1 0.2964 0.6988 0.1834
Tm2 0.2965 0.6988 0.7159
Hf1 0.6298 0.0326 0.4497
Te1 0.6298 0.0321 0.9497

Calculated values
The density of states at the Fermi level comes out at 0.889 states/eV per atom. The symmetry is P-6m2, No. 187. The volume comes out at 109.8 Å³ per cell.

=====

--- Q ---
# Tm2HfTe

Tm2HfTe after structural relaxation (PBE-GGA, the Alexandria database).

abc: 3.7627 3.7627 7.3283
angles: 90.00 90.00 90.00
Element x y z (fractional)
Te1 0.5000 0.5000 0.0000
Tm1 0.0000 0.0000 0.7584
Tm2 0.0000 0.0000 0.2416
Hf1 0.5000 0.5000 0.5000

Calculated values
The density of states at the Fermi level comes out at 1.448 states/eV per atom. The symmetry is P4/mmm, No. 123. The volume comes out at 103.8 Å³ per cell.

=====

--- R ---
# Tm2HfTe

Tm2HfTe after structural relaxation (PBE-GGA, the Alexandria database).

abc: 3.6176 3.6176 10.5787
angles: 80.15 80.15 60.00
Element x y z (fractional)
Te1 0.5000 0.5000 0.5000
Tm1 0.0978 0.0978 0.7066
Tm2 0.9022 0.9022 0.2934
Hf1 0.0000 0.0000 0.0000

Calculated values
The density of states at the Fermi level comes out at 0.850 states/eV per atom. The symmetry is R-3m, No. 166. The volume comes out at 117.5 Å³ per cell.

=====

Which one sits at the top of the stability order? Q does.

=====

--- P ---
# HfVTe3

HfVTe3 after structural relaxation (PBE-GGA, the Alexandria database).

abc: 5.1950 5.1950 5.1950
angles: 90.00 90.00 90.00
Element x y z (fractional)
Te1 0.0000 0.5000 0.0000
Te2 0.0000 0.0000 0.5000
Te3 0.5000 0.0000 0.0000
Hf1 0.5000 0.5000 0.5000
V1 0.0000 0.0000 0.0000

Calculated values
The density of states at the Fermi level comes out at 1.408 states/eV per atom. The symmetry is Pm-3m, No. 221. The volume comes out at 140.2 Å³ per cell.

=====

--- Q ---
# HfVTe3

HfVTe3 after structural relaxation (PBE-GGA, the Alexandria database).

abc: 4.0068 5.9094 5.9096
angles: 72.81 90.00 90.00
Element x y z (fractional)
Hf1 0.5120 0.2453 0.7568
V1 0.0120 0.9069 0.0951
Te1 0.5120 0.1021 0.2799
Te2 0.0120 0.5238 0.4783
Te3 0.5120 0.7222 0.9000

Calculated values
The density of states at the Fermi level comes out at 0.928 states/eV per atom. The symmetry is Amm2, No. 38. The volume comes out at 133.7 Å³ per cell.

=====

Which one sits at the top of the stability order? Q does.

=====

--- P ---
# HfV2Te2

HfV2Te2 after structural relaxation (PBE-GGA, the Alexandria database).

abc: 7.4568 7.4568 3.4978
angles: 90.00 90.00 90.00
Element x y z (fractional)
Te1 0.1730 0.6730 0.5000
Te2 0.6730 0.8270 0.5000
Te3 0.8270 0.3270 0.5000
Te4 0.3270 0.1730 0.5000
Hf1 0.0000 0.0000 0.0000
Hf2 0.5000 0.5000 0.0000
V1 0.3770 0.8770 0.0000
V2 0.8770 0.6230 0.0000
V3 0.6230 0.1230 0.0000
V4 0.1230 0.3770 0.0000

Calculated values
The density of states at the Fermi level comes out at 1.184 states/eV per atom. The symmetry is P4/mbm, No. 127. The volume comes out at 194.5 Å³ per cell.

=====

--- Q ---
# HfV2Te2

HfV2Te2 after structural relaxation (PBE-GGA, the Alexandria database).

abc: 4.9987 4.9987 5.3832
angles: 62.34 62.34 90.00
Element x y z (fractional)
Te1 0.7500 0.2500 0.5000
Te2 0.2500 0.7500 0.5000
Hf1 0.0000 0.0000 0.0000
V1 0.3771 0.3771 0.2457
V2 0.6229 0.6229 0.7543

Calculated values
The density of states at the Fermi level comes out at 0.810 states/eV per atom. The symmetry is I4/mmm, No. 139. The volume comes out at 101.5 Å³ per cell.

=====

Which one sits at the top of the stability order? Q does.